*P*
! La2Pr12Y5 | Alexandria via LeMat-Bulk | PBE | relaxed; values from VASP
! SG: C2/m, No. 12
! Fermi-level density of states: 28.9 states/eV/f.u.
&SYSTEM
  ibrav = 0, nat = 19, ntyp = 3
/
ATOMIC_SPECIES
Pr 140.91 Pr.upf
La 138.91 La.upf
Y 88.91 Y.upf
CELL_PARAMETERS angstrom
7.054 0.000 0.000
-3.527 12.319 -3.490
0.000 -1.571 8.422
ATOMIC_POSITIONS angstrom
Pr 1.755 3.573 -0.130
Pr 5.303 3.537 5.134
Pr 3.527 8.719 2.484
Pr 0.000 8.965 2.429
Pr 1.773 7.174 5.061
Pr 1.776 7.211 -0.203
Pr -1.776 7.211 -0.203
Pr 5.300 3.573 -0.130
Pr 0.000 2.028 2.448
Pr 1.751 3.537 5.134
Pr 3.527 1.783 2.502
Pr -1.773 7.174 5.061
La 5.364 0.000 0.000
La 1.690 0.000 0.000
Y 0.000 5.452 2.465
Y 0.000 -0.785 4.211
Y 3.527 5.296 2.467
Y 3.527 0.197 5.635
Y 0.000 10.551 -0.704

=====

*Q*
! La2Pr12Y5 | Alexandria via LeMat-Bulk | PBE | relaxed; values from VASP
! SG: C2/m, No. 12
! Fermi-level density of states: 22.2 states/eV/f.u.
&SYSTEM
  ibrav = 0, nat = 19, ntyp = 3
/
ATOMIC_SPECIES
Pr 140.91 Pr.upf
La 138.91 La.upf
Y 88.91 Y.upf
CELL_PARAMETERS angstrom
9.644 0.000 0.000
-4.822 10.694 -1.992
0.000 -4.894 7.547
ATOMIC_POSITIONS angstrom
Pr 2.419 5.167 1.604
Pr 4.822 5.274 4.038
Pr 2.961 7.851 -1.032
Pr 1.861 -2.052 6.587
Pr 0.000 7.141 2.828
Pr 2.403 0.633 3.951
Pr -2.961 7.851 -1.032
Pr 7.241 0.633 3.951
Pr 0.000 0.526 1.517
Pr -2.419 5.167 1.604
Pr 4.822 -1.341 2.727
Pr 7.783 -2.052 6.587
La 3.126 0.000 0.000
La 6.518 0.000 0.000
Y 0.000 3.347 3.741
Y 0.000 6.048 -1.059
Y 4.822 2.452 1.814
Y 0.000 -2.447 3.773
Y 4.822 -0.248 6.614

=====

*P* is the least stable structure shown above.